[1]
Co4HgAs after structural relaxation, computed with PBE.

Cell: 4.9137 4.9137 4.9137 Å, 60.00 60.00 60.00°
Closest atoms and distances in Å follow each position.
Element x y z (fractional)
Co (0.8763, 0.3746, 0.3746)  6 Co 2.45-2.47
Co (0.3746, 0.3746, 0.8763)  6 Co 2.45-2.47
Co (0.3746, 0.8763, 0.3746)  6 Co 2.45-2.47
Co (0.3746, 0.3746, 0.3746)  6 Co 2.45-2.47
Hg (0.7500, 0.7500, 0.7500)  12 Co 2.88, 4 As 3.01
As (0.0000, 0.0000, 0.0000)  12 Co 2.88, 4 Hg 3.01

## Properties
- Total magnetic moment: 6.62 μB per formula unit
- ΔH_f (0 K): 0.390 eV per atom

[2]
Na3HfPa3Te8 after structural relaxation, computed with PBE.

Cell: 8.4692 8.4689 9.3620 Å, 116.91 90.00 120.00°
Closest atoms and distances in Å follow each position.
Element x y z (fractional)
Na (0.0000, 0.0000, 0.0000)  6 Te 3.19-3.23
Na (0.0000, 0.5000, 0.0000)  6 Te 3.19-3.23
Na (0.5000, 0.5000, 0.0000)  6 Te 3.19-3.23
Hf (0.0000, 0.0000, 0.5000)  6 Te 2.96
Pa (0.5000, 0.0000, 0.5000)  6 Te 3.09-3.12
Pa (0.5000, 0.5000, 0.5000)  6 Te 3.09-3.12
Pa (0.0000, 0.5000, 0.5000)  6 Te 3.09-3.12
Te (0.2522, 0.5045, 0.2569)  3 Pa 3.12, 3 Na 3.19
Te (0.7478, 0.4955, 0.7431)  3 Pa 3.12, 3 Na 3.19
Te (0.7645, 0.5290, 0.2718)  1 Hf 2.96, 2 Pa 3.09, 2 Na 3.23
Te (0.2355, 0.4710, 0.7282)  1 Hf 2.96, 2 Pa 3.09, 2 Na 3.23
Te (0.7646, 0.0070, 0.2718)  1 Hf 2.96, 2 Pa 3.09, 2 Na 3.23
Te (0.2354, 0.9930, 0.7282)  1 Hf 2.96, 2 Pa 3.09, 2 Na 3.23
Te (0.2425, 0.0070, 0.2718)  1 Hf 2.96, 2 Pa 3.09, 2 Na 3.23
Te (0.7575, 0.9930, 0.7282)  1 Hf 2.96, 2 Pa 3.09, 2 Na 3.23

## Properties
- Total magnetic moment: 5.66 μB per formula unit
- Formation energy (no corrections): -846 meV per atom

[3]
Pm4Cd3Ag2 after structural relaxation, computed with PBE.

Cell: 5.2154 5.2152 10.0389 Å, 90.00 90.00 60.00°
Closest atoms and distances in Å follow each position.
Element x y z (fractional)
Pm (0.6666, 0.6667, 0.8796)  4 Ag 3.09-3.11, 3 Cd 3.24
Pm (0.0000, 0.0000, 0.3343)  4 Pm 3.33-3.70, 3 Ag 3.34, 7 Cd 3.36-3.45
Pm (0.0000, 0.0000, 0.6657)  4 Pm 3.33-3.70, 3 Ag 3.34, 7 Cd 3.36-3.45
Pm (0.3334, 0.3333, 0.1204)  4 Ag 3.09-3.11, 3 Cd 3.24
Cd (0.3333, 0.3333, 0.5018)  3 Cd 3.01, 1 Ag 3.10
Cd (0.0000, 0.0000, 0.0000)  8 Pm 3.24-3.36, 6 Ag 3.56
Cd (0.6667, 0.6667, 0.4982)  3 Cd 3.01, 1 Ag 3.10
Ag (0.3333, 0.3334, 0.8106)  7 Pm 3.09-3.34, 1 Cd 3.10
Ag (0.6667, 0.6666, 0.1894)  7 Pm 3.09-3.34, 1 Cd 3.10

## Properties
- Total magnetic moment: 0.00 μB per formula unit
- ΔH_f (0 K): -0.269 eV per atom

[4]
La5PrSm2 after structural relaxation, computed with PBE.

Cell: 3.6636 11.4359 9.1310 Å, 128.77 101.57 90.00°
Closest atoms and distances in Å follow each position.
Element x y z (fractional)
La (0.0000, 0.5000, 0.0000)  2 Sm 3.51, 10 La 3.66-3.70
La (0.6290, 0.3942, 0.2580)  3 Sm 3.42-3.69, 7 La 3.55-3.82
La (0.3710, 0.6058, 0.7420)  3 Sm 3.42-3.69, 7 La 3.55-3.82
La (0.6290, 0.8638, 0.2580)  3 Sm 3.42-3.69, 7 La 3.55-3.82
La (0.3710, 0.1362, 0.7420)  3 Sm 3.42-3.69, 7 La 3.55-3.82
Pr (0.0000, 0.0000, 0.0000)  2 Pr 3.66, 4 Sm 3.83, 8 La 3.96
Sm (0.2554, 0.7554, 0.5109)  7 La 3.42-3.69, 2 Sm 3.66, 2 Pr 3.83
Sm (0.7446, 0.2446, 0.4891)  7 La 3.42-3.69, 2 Sm 3.66, 2 Pr 3.83

## Properties
- Total magnetic moment: 0.00 μB per formula unit
- ΔH_f (0 K): 0.024 eV per atom

[5]
La4Nd2Ag after structural relaxation, computed with PBE.

Cell: 3.6209 8.7551 8.6733 Å, 116.96 102.05 90.00°
Closest atoms and distances in Å follow each position.
Element x y z (fractional)
La (0.9188, 0.3002, 0.8375)  3 La 3.30-3.62, 3 Nd 3.45-3.55, 1 Ag 3.49
La (0.0812, 0.6998, 0.1625)  3 La 3.30-3.62, 3 Nd 3.45-3.55, 1 Ag 3.49
La (0.6266, 0.3705, 0.2532)  2 Ag 3.46, 3 Nd 3.54-3.86, 6 La 3.62-3.77
La (0.3734, 0.6295, 0.7468)  2 Ag 3.46, 3 Nd 3.54-3.86, 6 La 3.62-3.77
Nd (0.7841, 0.8605, 0.5681)  1 Ag 3.28, 5 La 3.45-3.55, 4 Nd 3.62-3.63
Nd (0.2159, 0.1395, 0.4319)  1 Ag 3.28, 5 La 3.45-3.55, 4 Nd 3.62-3.63
Ag (0.0000, 0.0000, 0.0000)  2 Nd 3.28, 6 La 3.46-3.49, 2 Ag 3.62

## Properties
- Total magnetic moment: 0.00 μB per formula unit
- ΔH_f (0 K): 0.061 eV per atom

[6]
Pm2Dy5Tm5 after structural relaxation, computed with PBE.

Cell: 4.9967 7.9095 10.6130 Å, 72.63 76.38 71.59°
Closest atoms and distances in Å follow each position.
Element x y z (fractional)
Pm (0.9170, 0.4175, 0.7486)  7 Dy 3.53-3.55, 5 Tm 3.54-3.55
Pm (0.0830, 0.5825, 0.2514)  7 Dy 3.53-3.55, 5 Tm 3.54-3.55
Dy (0.5000, 0.5000, 0.5000)  4 Pm 3.53, 2 Dy 3.55, 6 Tm 3.55
Dy (0.3339, 0.3326, 0.9997)  4 Dy 3.52-3.55, 5 Tm 3.53-3.55, 3 Pm 3.54-3.55
Dy (0.4153, 0.9190, 0.2504)  7 Tm 3.51-3.54, 3 Dy 3.52-3.55, 2 Pm 3.55
Dy (0.5847, 0.0810, 0.7496)  7 Tm 3.51-3.54, 3 Dy 3.52-3.55, 2 Pm 3.55
Dy (0.6661, 0.6674, 0.0003)  4 Dy 3.52-3.55, 5 Tm 3.53-3.55, 3 Pm 3.54-3.55
Tm (0.8320, 0.8358, 0.5002)  5 Dy 3.51-3.55, 5 Tm 3.51-3.53, 2 Pm 3.54-3.55
Tm (0.2490, 0.7520, 0.7499)  6 Dy 3.51-3.55, 4 Tm 3.51-3.53, 2 Pm 3.54
Tm (0.7510, 0.2480, 0.2501)  6 Dy 3.51-3.55, 4 Tm 3.51-3.53, 2 Pm 3.54
Tm (0.1680, 0.1642, 0.4998)  5 Dy 3.51-3.55, 5 Tm 3.51-3.53, 2 Pm 3.54-3.55
Tm (0.0000, 0.0000, 0.0000)  2 Tm 3.53, 8 Dy 3.53-3.54, 2 Pm 3.55

## Properties
- Total magnetic moment: 0.00 μB per formula unit
- ΔH_f (0 K): 0.022 eV per atom

[7]
La6HgOs after structural relaxation, computed with PBE.

Cell: 9.9621 9.9621 8.7265 Å, 110.17 106.77 116.44°
Closest atoms and distances in Å follow each position.
Element x y z (fractional)
La (0.1163, 0.6960, 0.8123)  2 Os 3.02
La (0.8837, 0.3040, 0.1877)  2 Os 3.02
La (0.7381, 0.5829, 0.3210)  2 Hg 3.17
La (0.2619, 0.4171, 0.6790)  2 Hg 3.17
La (0.8369, 0.1789, 0.6708)  1 Os 2.73
La (0.1631, 0.8211, 0.3292)  1 Os 2.73
La (0.4918, 0.8338, 0.6708)  1 Os 2.73
La (0.5082, 0.1662, 0.3292)  1 Os 2.73
La (0.6458, 0.8558, 0.1414)  1 Os 2.78
La (0.3542, 0.1442, 0.8586)  1 Os 2.78
La (0.7144, 0.5044, 0.8586)  1 Os 2.78
La (0.2856, 0.4956, 0.1414)  1 Os 2.78
Hg (0.0000, 0.0000, 0.5000)  6 La 3.17-3.21
Hg (0.5000, 0.5000, 0.5000)  6 La 3.17-3.21
Os (0.0000, 0.5000, 0.0000)  6 La 2.73-3.02
Os (0.5000, 0.0000, 0.0000)  6 La 2.73-3.02

## Properties
- Total magnetic moment: 0.00 μB per formula unit
- ΔH_f (0 K): 0.028 eV per atom

[8]
LaPm4Ga after structural relaxation, computed with PBE.

Cell: 8.4826 8.4826 8.4826 Å, 100.93 100.93 128.37°
Closest atoms and distances in Å follow each position.
Element x y z (fractional)
La (0.1925, 0.1925, 0.0000)  4 Pm 2.96-3.13, 1 Ga 3.12
La (0.9425, 0.4425, 0.5000)  4 Pm 2.96-3.13, 1 Ga 3.12
Pm (0.2681, 0.9827, 0.7146)  1 Ga 2.97, 1 La 3.13
Pm (0.7508, 0.4917, 0.7409)  2 Ga 2.80-3.11, 1 La 2.96
Pm (0.7327, 0.5181, 0.2146)  1 Ga 2.97, 1 La 3.13
Pm (0.2417, 0.0008, 0.2409)  2 Ga 2.80-3.11, 1 La 2.96
Pm (0.3035, 0.5181, 0.7854)  1 Ga 2.97, 1 La 3.13
Pm (0.7599, 0.0008, 0.7591)  2 Ga 2.80-3.11, 1 La 2.96
Pm (0.7508, 0.0099, 0.2591)  2 Ga 2.80-3.11, 1 La 2.96
Pm (0.2681, 0.5535, 0.2854)  1 Ga 2.97, 1 La 3.13
Ga (0.7696, 0.7696, 0.0000)  6 Pm 2.80-3.11, 1 La 3.12
Ga (0.5196, 0.0196, 0.5000)  6 Pm 2.80-3.11, 1 La 3.12

## Properties
- Total magnetic moment: 0.63 μB per formula unit
- ΔH_f (0 K): 0.301 eV per atom

[9]
CsUAgI5 after structural relaxation, computed with PBE.

Cell: 8.7354 8.7354 11.8282 Å, 103.20 103.20 106.26°
Closest atoms and distances in Å follow each position.
Element x y z (fractional)
Cs (0.3521, 0.6479, 0.2500)  5 I 3.87-3.89
Cs (0.6479, 0.3521, 0.7500)  5 I 3.87-3.89
U (0.0000, 0.0000, 0.5000)  6 I 3.13-3.14
U (0.0000, 0.0000, 0.0000)  6 I 3.13-3.14
Ag (0.6917, 0.3083, 0.2500)  4 I 2.85-2.92
Ag (0.3083, 0.6917, 0.7500)  4 I 2.85-2.92
I (0.0739, 0.9261, 0.2500)  2 U 3.13
I (0.9261, 0.0739, 0.7500)  2 U 3.13
I (0.9056, 0.3142, 0.1002)  1 Ag 2.85, 1 U 3.14
I (0.0944, 0.6858, 0.8998)  1 Ag 2.85, 1 U 3.14
I (0.6858, 0.0944, 0.3998)  1 Ag 2.85, 1 U 3.14
I (0.3142, 0.9056, 0.6002)  1 Ag 2.85, 1 U 3.14
I (0.7682, 0.6264, 0.4360)  1 Ag 2.92, 1 U 3.13
I (0.2318, 0.3736, 0.5640)  1 Ag 2.92, 1 U 3.13
I (0.3736, 0.2318, 0.0640)  1 Ag 2.92, 1 U 3.13
I (0.6264, 0.7682, 0.9360)  1 Ag 2.92, 1 U 3.13

## Properties
- Total magnetic moment: 3.00 μB per formula unit
- Formation energy (no corrections): -850 meV per atom

[10]
LiMnCuCl5 after structural relaxation, computed with PBE.

Cell: 6.4389 6.4389 11.9970 Å, 110.58 110.58 104.74°
Closest atoms and distances in Å follow each position.
Element x y z (fractional)
Li (0.0000, 0.0000, 0.5000)  4 Cl 2.46-2.47
Li (0.0000, 0.0000, 0.0000)  4 Cl 2.46-2.47
Mn (0.3698, 0.6302, 0.2500)  5 Cl 2.22-2.45
Mn (0.6302, 0.3698, 0.7500)  5 Cl 2.22-2.45
Cu (0.7031, 0.2969, 0.2500)  4 Cl 2.31-2.35
Cu (0.2969, 0.7031, 0.7500)  4 Cl 2.31-2.35
Cl (0.1516, 0.8484, 0.2500)  1 Mn 2.22
Cl (0.8484, 0.1516, 0.7500)  1 Mn 2.22
Cl (0.0262, 0.3070, 0.2055)  1 Cu 2.31, 1 Mn 2.36, 1 Li 2.47
Cl (0.9738, 0.6930, 0.7945)  1 Cu 2.31, 1 Mn 2.36, 1 Li 2.47
Cl (0.6930, 0.9738, 0.2945)  1 Cu 2.31, 1 Mn 2.36, 1 Li 2.47
Cl (0.3070, 0.0262, 0.7055)  1 Cu 2.31, 1 Mn 2.36, 1 Li 2.47
Cl (0.6826, 0.5962, 0.4221)  1 Cu 2.35, 1 Mn 2.45, 1 Li 2.46
Cl (0.3174, 0.4038, 0.5779)  1 Cu 2.35, 1 Mn 2.45, 1 Li 2.46
Cl (0.4038, 0.3174, 0.0779)  1 Cu 2.35, 1 Mn 2.45, 1 Li 2.46
Cl (0.5962, 0.6826, 0.9221)  1 Cu 2.35, 1 Mn 2.45, 1 Li 2.46

## Properties
- Total magnetic moment: 3.98 μB per formula unit
- Formation energy (no corrections): -995 meV per atom

[11]
ReAg2PO after structural relaxation, computed with PBE.

Cell: 5.0079 3.2697 5.0079 Å, 90.00 90.00 90.00°
Closest atoms and distances in Å follow each position.
Element x y z (fractional)
Re (0.5000, 0.5000, 0.5000)  8 Ag 2.99, 2 Re 3.27
O (0.0000, 0.5000, 0.0000)  2 P 1.63
Ag (0.0000, 0.0000, 0.5000)  2 P 2.50
Ag (0.5000, 0.0000, 0.0000)  2 P 2.50
P (0.0000, 0.0000, 0.0000)  2 O 1.63

## Properties
- Total magnetic moment: 2.55 μB per formula unit
- Formation energy (no corrections): 831 meV per atom

Record-wise theoretical density values, in g cm⁻³: 10.12, 6.57, 7.96, 6.55, 6.64, 8.62, 6.57, 6.08, 4.61, 2.56, 9.09